(1)
ErTmInCo after structural relaxation, computed with PBE.

Values from the calculation:
calculated total energy	-4.9373	eV per atom
space-group type	F-43m (216)

a = 5.025 Å, b = 5.025 Å, c = 5.025 Å
α = 60.00°, β = 60.00°, γ = 60.00°
Element x y z (fractional)
Er (0.000, 0.000, 0.000)
Tm (0.500, 0.500, 0.500)
In (0.250, 0.250, 0.250)
Co (0.750, 0.750, 0.750)


(2)
Li3Mg12Hg5 after structural relaxation, computed with PBE.

Values from the calculation:
calculated total energy	-1.1532	eV per atom
space-group type	Ia-3d (230)

a = 14.259 Å, b = 14.259 Å, c = 14.259 Å
α = 109.47°, β = 109.47°, γ = 109.47°
Element x y z (fractional)
Li (0.125, 0.250, 0.375)
Li (0.125, 0.375, 0.750)
Li (0.250, 0.375, 0.125)
Li (0.250, 0.875, 0.625)
Li (0.375, 0.125, 0.250)
Li (0.375, 0.750, 0.125)
Li (0.625, 0.250, 0.875)
Li (0.625, 0.875, 0.750)
Li (0.750, 0.125, 0.375)
Li (0.750, 0.625, 0.875)
Li (0.875, 0.625, 0.250)
Li (0.875, 0.750, 0.625)
Mg (0.063, 0.229, 0.130)
Mg (0.063, 0.334, 0.934)
Mg (0.066, 0.630, 0.401)
Mg (0.066, 0.937, 0.666)
Mg (0.099, 0.729, 0.666)
Mg (0.099, 0.870, 0.434)
Mg (0.130, 0.063, 0.229)
Mg (0.130, 0.566, 0.901)
Mg (0.166, 0.229, 0.599)
Mg (0.166, 0.437, 0.566)
Mg (0.229, 0.130, 0.063)
Mg (0.229, 0.599, 0.166)
Mg (0.271, 0.334, 0.901)
Mg (0.271, 0.437, 0.370)
Mg (0.334, 0.901, 0.271)
Mg (0.334, 0.934, 0.063)
Mg (0.370, 0.271, 0.437)
Mg (0.370, 0.599, 0.934)
Mg (0.401, 0.066, 0.630)
Mg (0.401, 0.834, 0.771)
Mg (0.434, 0.099, 0.870)
Mg (0.434, 0.834, 0.563)
Mg (0.437, 0.370, 0.271)
Mg (0.437, 0.566, 0.166)
Mg (0.563, 0.434, 0.834)
Mg (0.563, 0.630, 0.729)
Mg (0.566, 0.166, 0.437)
Mg (0.566, 0.901, 0.130)
Mg (0.599, 0.166, 0.229)
Mg (0.599, 0.934, 0.370)
Mg (0.630, 0.401, 0.066)
Mg (0.630, 0.729, 0.563)
Mg (0.666, 0.066, 0.937)
Mg (0.666, 0.099, 0.729)
Mg (0.729, 0.563, 0.630)
Mg (0.729, 0.666, 0.099)
Mg (0.771, 0.401, 0.834)
Mg (0.771, 0.870, 0.937)
Mg (0.834, 0.563, 0.434)
Mg (0.834, 0.771, 0.401)
Mg (0.870, 0.434, 0.099)
Mg (0.870, 0.937, 0.771)
Mg (0.901, 0.130, 0.566)
Mg (0.901, 0.271, 0.334)
Mg (0.934, 0.063, 0.334)
Mg (0.934, 0.370, 0.599)
Mg (0.937, 0.666, 0.066)
Mg (0.937, 0.771, 0.870)
Hg (0.000, 0.000, 0.000)
Hg (0.000, 0.000, 0.500)
Hg (0.000, 0.500, 0.000)
Hg (0.000, 0.500, 0.500)
Hg (0.125, 0.750, 0.875)
Hg (0.125, 0.875, 0.250)
Hg (0.250, 0.125, 0.875)
Hg (0.250, 0.625, 0.375)
Hg (0.375, 0.250, 0.625)
Hg (0.375, 0.625, 0.750)
Hg (0.500, 0.000, 0.000)
Hg (0.500, 0.000, 0.500)
Hg (0.500, 0.500, 0.000)
Hg (0.500, 0.500, 0.500)
Hg (0.625, 0.375, 0.250)
Hg (0.625, 0.750, 0.375)
Hg (0.750, 0.375, 0.625)
Hg (0.750, 0.875, 0.125)
Hg (0.875, 0.125, 0.750)
Hg (0.875, 0.250, 0.125)


(3)
ScTiCd2 after structural relaxation, computed with PBE.

Values from the calculation:
calculated total energy	-4.0962	eV per atom
space-group type	P4/mmm (123)

a = 3.448 Å, b = 3.448 Å, c = 6.902 Å
α = 90.00°, β = 90.00°, γ = 90.00°
Element x y z (fractional)
Sc (0.000, 0.000, 0.000)
Ti (0.000, 0.000, 0.500)
Cd (0.500, 0.500, 0.262)
Cd (0.500, 0.500, 0.738)


(4)
GaAgOs3 after structural relaxation, computed with PBE.

Values from the calculation:
calculated total energy	-4.9200	eV per atom
space-group type	Pm-3m (221)

a = 4.800 Å, b = 4.800 Å, c = 4.800 Å
α = 90.00°, β = 90.00°, γ = 90.00°
Element x y z (fractional)
Ga (0.000, 0.000, 0.000)
Ag (0.500, 0.500, 0.500)
Os (0.000, 0.500, 0.500)
Os (0.500, 0.000, 0.500)
Os (0.500, 0.500, 0.000)


(5)
PmHo2MgTl4 after structural relaxation, computed with PBE.

Values from the calculation:
calculated total energy	-3.4092	eV per atom
space-group type	R-3m (166)

a = 9.491 Å, b = 9.491 Å, c = 9.491 Å
α = 32.25°, β = 32.25°, γ = 32.25°
Element x y z (fractional)
Pm (0.000, 0.000, 0.000)
Ho (0.244, 0.244, 0.244)
Ho (0.756, 0.756, 0.756)
Mg (0.500, 0.500, 0.500)
Tl (0.125, 0.125, 0.125)
Tl (0.378, 0.378, 0.378)
Tl (0.622, 0.622, 0.622)
Tl (0.875, 0.875, 0.875)


Repeat the third record exactly.
ScTiCd2 after structural relaxation, computed with PBE.

Values from the calculation:
calculated total energy	-4.0962	eV per atom
space-group type	P4/mmm (123)

a = 3.448 Å, b = 3.448 Å, c = 6.902 Å
α = 90.00°, β = 90.00°, γ = 90.00°
Element x y z (fractional)
Sc (0.000, 0.000, 0.000)
Ti (0.000, 0.000, 0.500)
Cd (0.500, 0.500, 0.262)
Cd (0.500, 0.500, 0.738)